Record 1
# Eu3Si5Te12

Crystalline Eu3Si5Te12 at its relaxed geometry (PBE, the Alexandria database).

abc: 17.2674 17.2674 17.2674
angles: 90.00 90.00 90.00
Closest atoms and distances in Å follow each position.
Space group Ia-3d (No. 230)
Inequivalent atoms, fractional coordinates:
Eu (0.0000, 0.2500, 0.1250)  8 Te 3.33-3.40
Si (0.0000, 0.0000, 0.0000)  6 Te 2.82
Si (0.0000, 0.2500, 0.3750)  4 Te 2.58
Te (0.0299, 0.0570, 0.6498)  2 Si 2.58-2.82

Output
- Total magnetic moment: 19.9 μB/f.u.
- Formation energy from raw total energies: -41.8 kJ per mole of atoms



Record 2
# EuThSi4

Crystalline EuThSi4 at its relaxed geometry (PBE, the Alexandria database).

abc: 7.6774 7.6774 7.6774
angles: 90.00 90.00 90.00
Closest atoms and distances in Å follow each position.
Space group F-43m (No. 216)
Inequivalent atoms, fractional coordinates:
Eu (0.0000, 0.0000, 0.0000)  12 Si 3.18, 4 Th 3.32
Th (0.2500, 0.2500, 0.2500)  12 Si 3.18, 4 Eu 3.32
Si (0.1254, 0.1254, 0.6254)  6 Si 2.71-2.72

Output
- Total magnetic moment: 6.7 μB/f.u.
- Formation energy from raw total energies: -26.6 kJ per mole of atoms



Record 3
# EuThZnSi

Crystalline EuThZnSi at its relaxed geometry (PBE, the Alexandria database).

abc: 7.2874 7.2874 7.2874
angles: 90.00 90.00 90.00
Closest atoms and distances in Å follow each position.
Space group F-43m (No. 216)
Inequivalent atoms, fractional coordinates:
Eu (0.0000, 0.0000, 0.0000)  4 Si 3.16, 4 Zn 3.16
Th (0.0000, 0.0000, 0.5000)  4 Si 3.16, 4 Zn 3.16
Zn (0.2500, 0.2500, 0.2500)  4 Th 3.16, 4 Eu 3.16
Si (0.2500, 0.2500, 0.7500)  4 Th 3.16, 4 Eu 3.16

Output
- Total magnetic moment: 6.9 μB/f.u.
- Formation energy from raw total energies: -28.0 kJ per mole of atoms



Record 4
# Eu2TlSi

Crystalline Eu2TlSi at its relaxed geometry (PBE, the Alexandria database).

abc: 3.7711 3.7711 7.7937
angles: 90.00 90.00 90.00
Closest atoms and distances in Å follow each position.
Space group P4/mmm (No. 123)
Inequivalent atoms, fractional coordinates:
Eu (0.0000, 0.0000, 0.2165)  4 Si 3.16, 1 Eu 3.37, 4 Tl 3.46
Tl (0.5000, 0.5000, 0.5000)  8 Eu 3.46, 4 Tl 3.77
Si (0.5000, 0.5000, 0.0000)  8 Eu 3.16

Output
- Total magnetic moment: 14.1 μB/f.u.
- Formation energy from raw total energies: -37.4 kJ per mole of atoms